Entry 1:
LiLa2Th PBE relaxed; energy above the lowest structure with this stoichiometry = 0.00 eV/f.u.; E_form = 0.02 eV/atom
1.0
3.6523 0.0000 0.0000
0.0000 3.6523 0.0000
0.0000 0.0000 9.5077
Li Th La
1 1 2
Direct
0.5000 0.5000 0.0000 Li
0.5000 0.5000 0.5000 Th
0.0000 0.0000 0.7542 La
0.0000 0.0000 0.2458 La

=====

Entry 2:
Th4CS3 PBE relaxed; uncorrected formation energy = -1.415 eV per atom; energy above the lowest structure with this stoichiometry = 0.72 eV/f.u.
1.0
5.6426 0.0000 0.0000
0.0000 5.6426 0.0000
0.0000 0.0000 5.6426
Th C S
4 1 3
Direct
0.5000 0.0000 0.0000 Th
0.0000 0.5000 0.0000 Th
0.0000 0.0000 0.5000 Th
0.5000 0.5000 0.5000 Th
0.0000 0.0000 0.0000 C
0.0000 0.5000 0.5000 S
0.5000 0.0000 0.5000 S
0.5000 0.5000 0.0000 S

=====

Entry 3:
TlAg2Sb2 PBE relaxed; uncorrected formation energy = 0.088 eV per atom; energy above the lowest structure with this stoichiometry = 0.30 eV/f.u.
1.0
-0.7538 6.1881 6.3118
-8.5751 1.0251 -2.0290
-0.7689 -2.2492 2.1132
Sb Tl Ag
4 2 4
Direct
0.1537 0.6537 0.5000 Sb
0.6537 0.8463 0.5000 Sb
0.8463 0.3463 0.5000 Sb
0.3463 0.1537 0.5000 Sb
0.0000 0.0000 0.0000 Tl
0.5000 0.5000 0.0000 Tl
0.3580 0.8580 0.0000 Ag
0.8580 0.6420 0.0000 Ag
0.6420 0.1420 0.0000 Ag
0.1420 0.3580 0.0000 Ag

=====

Entry 4:
NdCoNiSn3 PBE relaxed; E_form = -0.16 eV/atom
1.0
-2.8369 -4.9966 -3.8927
5.7237 -3.5795 0.4233
-4.8598 -0.8345 4.6129
Nd Co Ni Sn
2 2 2 6
Direct
0.7500 0.2428 0.4857 Nd
0.2500 0.7572 0.5143 Nd
0.2500 0.4240 0.8480 Co
0.7500 0.5760 0.1520 Co
0.2500 0.0085 0.0169 Ni
0.7500 0.9915 0.9831 Ni
0.2500 0.2196 0.4391 Sn
0.0000 0.2667 0.0000 Sn
0.5000 0.7333 0.0000 Sn
0.5000 0.2667 0.0000 Sn
0.0000 0.7333 0.0000 Sn
0.7500 0.7804 0.5609 Sn

=====

Entry 5:
CeRhBr PBE relaxed; uncorrected formation energy = -1.106 eV per atom; energy above the lowest structure with this stoichiometry = 0.01 eV/f.u.
1.0
3.9010 -0.7565 -0.0971
0.7542 3.9015 -0.0971
0.2722 0.1839 9.5178
Br Ce Rh
2 2 2
Direct
0.7494 0.7494 0.3582 Br
0.2506 0.2506 0.6418 Br
0.7507 0.7507 0.7957 Ce
0.2493 0.2493 0.2043 Ce
0.7499 0.2501 0.0000 Rh
0.2501 0.7499 0.0000 Rh

=====

Entry 6:
Ba2CdAg6Hg PBE relaxed; E_form = -0.15 eV/atom
1.0
7.4294 -0.2883 1.4861
-0.2795 7.4389 -1.5435
4.6391 2.5625 5.4443
Ba Cd Ag Hg
2 1 6 1
Direct
0.7536 0.2089 0.5449 Ba
0.2464 0.7911 0.4551 Ba
0.0000 0.0000 0.0000 Cd
0.2642 0.2602 0.5027 Ag
0.7509 0.5775 0.1725 Ag
0.2377 0.7396 0.9956 Ag
0.7623 0.2604 0.0044 Ag
0.2491 0.4225 0.8275 Ag
0.7358 0.7398 0.4973 Ag
0.5000 0.5000 0.0000 Hg

=====

Entry 7:
SrCa2BiSb PBE relaxed; uncorrected formation energy = -0.771 eV per atom; energy above the lowest structure with this stoichiometry = 0.00 eV/f.u.
1.0
5.3418 0.0000 0.0000
0.0000 5.3417 0.0000
0.0000 0.0001 7.6472
Sr Ca Bi Sb
1 2 1 1
Direct
0.0000 0.0000 0.4957 Sr
0.0000 0.5000 0.8968 Ca
0.5000 0.0000 0.8968 Ca
0.5000 0.5000 0.6305 Bi
0.0000 0.0000 0.0803 Sb

=====

Entry 8:
Mn2OsW PBE relaxed; E_form = 0.15 eV/atom
1.0
-0.9870 -2.4567 -1.5645
-0.4279 -1.5116 2.6437
-5.4220 2.0066 0.2697
Mn Os W
2 1 1
Direct
0.0000 0.0000 0.9976 Mn
0.0000 0.0000 0.5024 Mn
0.5000 0.5000 0.2500 Os
0.5000 0.5000 0.7500 W

=====

Entry 9:
An optimized crystal structure of KAlSbH. Source: Alexandria via LeMat-Bulk, functional PBE.

Geometry as POSCAR:
```
KAlSbH
1.0
-1.2777 -1.8717 -3.7507
1.3279 -4.0567 -0.9879
-5.1144 -4.3707 1.3633
K Al Sb H
1 1 1 1
Direct
0.2647 0.4805 0.9900 K
0.7453 0.9596 0.5499 Al
0.4612 0.6755 0.4021 Sb
0.6579 0.8725 0.8117 H
```

=====

Entry 10:
CsPmSnO4 PBE relaxed; uncorrected formation energy = -2.139 eV per atom
1.0
6.0864 0.0000 -0.6798
0.0000 6.2916 0.0000
-3.1990 0.0000 8.2723
Cs Pm Sn O
2 2 2 8
Direct
0.5428 0.7500 0.8962 Cs
0.4572 0.2500 0.1038 Cs
0.8031 0.7500 0.4727 Pm
0.1969 0.2500 0.5273 Pm
0.2179 0.7500 0.3317 Sn
0.7821 0.2500 0.6683 Sn
0.0110 0.4781 0.6669 O
0.9890 0.9781 0.3331 O
0.9890 0.5219 0.3331 O
0.0110 0.0219 0.6669 O
0.4133 0.7500 0.2076 O
0.5867 0.2500 0.7924 O
0.5016 0.7500 0.5635 O
0.4984 0.2500 0.4365 O

=====

Entry 11:
Cs12KTl6 PBE relaxed; E_form = 0.00 eV/atom
1.0
11.1557 -0.2100 -1.8735
-2.1798 10.9427 -1.8735
-0.1756 -0.2100 11.3106
Cs K Tl
12 1 6
Direct
0.3774 0.0699 0.3240 Cs
0.0699 0.3240 0.3774 Cs
0.3240 0.3774 0.0699 Cs
0.6226 0.9301 0.6760 Cs
0.9301 0.6760 0.6226 Cs
0.6760 0.6226 0.9301 Cs
0.2570 0.0688 0.6926 Cs
0.3074 0.7430 0.9312 Cs
0.9312 0.3074 0.7430 Cs
0.7430 0.9312 0.3074 Cs
0.6926 0.2570 0.0688 Cs
0.0688 0.6926 0.2570 Cs
0.0000 0.0000 0.0000 K
0.3374 0.4252 0.6671 Tl
0.5748 0.3329 0.6626 Tl
0.3329 0.6626 0.5748 Tl
0.6626 0.5748 0.3329 Tl
0.4252 0.6671 0.3374 Tl
0.6671 0.3374 0.4252 Tl

=====

Entry 12:
CaReBr4 PBE relaxed; uncorrected formation energy = 0.796 eV per atom
1.0
3.0108 -2.5273 5.0278
-1.6942 -5.7574 2.1711
3.9045 -4.9856 -0.7937
Ca Re Br
1 1 4
Direct
0.7500 0.7500 0.7500 Ca
0.0000 0.0000 0.0000 Re
0.8750 0.3750 0.3750 Br
0.3750 0.3750 0.8750 Br
0.3750 0.8750 0.3750 Br
0.3750 0.3750 0.3750 Br

=====

Entry 13:
LaSi3N PBE relaxed; uncorrected formation energy = 2.322 eV per atom; energy above the lowest structure with this stoichiometry = 10.34 eV/f.u.
1.0
-0.0347 -2.0970 5.2628
2.8515 -4.5541 -1.7959
4.8953 2.6379 1.0833
Si N La
3 1 1
Direct
0.0000 0.5000 0.0000 Si
0.0000 0.0000 0.5000 Si
0.5000 0.0000 0.0000 Si
0.5000 0.5000 0.5000 N
0.0000 0.0000 0.0000 La

=====

Entry 14:
Ta2HgGe PBE relaxed; E_form = 0.57 eV/atom
1.0
3.9984 0.0000 0.0000
0.0000 3.9984 0.0000
1.9992 1.9992 9.9760
Ge Hg Ta
2 2 4
Direct
0.5000 0.5000 0.0000 Ge
0.2500 0.7500 0.5000 Ge
0.0000 0.0000 0.0000 Hg
0.7500 0.2500 0.5000 Hg
0.6171 0.1250 0.2500 Ta
0.1329 0.6250 0.2500 Ta
0.3750 0.3829 0.7500 Ta
0.8750 0.8671 0.7500 Ta

=====

Entry 15:
LaInSi2Mo PBE relaxed; uncorrected formation energy = 1.485 eV per atom
1.0
5.0111 0.0000 0.0000
0.0000 5.8077 0.0000
0.0000 0.0000 5.0111
Mo In Si La
1 1 2 1
Direct
0.5000 0.5000 0.5000 Mo
0.0000 0.0000 0.0000 In
0.0000 0.0000 0.5000 Si
0.5000 0.0000 0.0000 Si
0.0000 0.5000 0.0000 La

=====

Entry 16:
CrCdIr2 PBE relaxed; E_form = 0.22 eV/atom
1.0
4.9012 -0.0040 0.0000
1.8037 4.5573 0.0000
-3.3525 -2.2766 2.7568
Cd Cr Ir
1 1 2
Direct
0.5000 0.5000 0.0000 Cd
0.7500 0.2500 0.5000 Cr
0.0000 0.0000 0.0000 Ir
0.2500 0.7500 0.5000 Ir

=====

Entry 17:
NbSi2PCl PBE relaxed; uncorrected formation energy = 0.740 eV per atom
1.0
4.5590 0.0000 0.0000
0.0000 4.8179 0.0000
0.0000 0.0000 4.5590
P Nb Si Cl
1 1 2 1
Direct
0.0000 0.0000 0.0000 P
0.0000 0.5000 0.0000 Nb
0.0000 0.0000 0.5000 Si
0.5000 0.0000 0.0000 Si
0.5000 0.5000 0.5000 Cl

=====

Entry 18:
Ho4Tc PBE relaxed; energy above the lowest structure with this stoichiometry = 0.56 eV/f.u.; E_form = 0.15 eV/atom
1.0
5.3510 0.0000 0.0000
0.0000 5.3510 0.0000
0.0000 0.0000 5.3510
Tc Ho
1 4
Direct
0.5000 0.5000 0.5000 Tc
0.0000 0.0000 0.0000 Ho
0.5000 0.0000 0.5000 Ho
0.0000 0.5000 0.5000 Ho
0.5000 0.5000 0.0000 Ho

=====

Entry 19:
CeEuSb PBE relaxed; uncorrected formation energy = -0.611 eV per atom; energy above the lowest structure with this stoichiometry = 0.00 eV/f.u.
1.0
4.1883 0.0000 0.0000
0.0000 4.1883 0.0000
-2.0941 -2.0941 5.2381
Eu Sb Ce
1 1 1
Direct
0.9347 0.9347 0.8694 Eu
0.2799 0.2799 0.5597 Sb
0.6354 0.6354 0.2709 Ce

=====

Entry 20:
KLa2IrO8 PBE relaxed; uncorrected formation energy = -1.845 eV per atom
1.0
-1.9235 -3.5071 3.5750
-1.7068 -2.3507 -3.2215
5.2225 -4.9235 -2.0190
K La Ir O
1 2 1 8
Direct
0.0000 0.0000 0.5000 K
0.5003 0.3744 0.7899 La
0.4997 0.6256 0.2101 La
0.0000 0.0000 0.0000 Ir
0.0011 0.6513 0.2260 O
0.7331 0.8094 0.8936 O
0.7370 0.1920 0.1082 O
0.9989 0.3487 0.7740 O
0.2669 0.1906 0.1064 O
0.2630 0.8080 0.8918 O
0.5002 0.8319 0.4966 O
0.4998 0.1681 0.5034 O

=====

Entry 21:
Co3AsP PBE relaxed; energy above the lowest structure with this stoichiometry = 2.92 eV/f.u.; E_form = 0.87 eV/atom
1.0
-1.7055 1.7189 -3.5551
-3.8106 0.2992 1.9727
1.0356 3.9316 1.4041
P As Co
1 1 3
Direct
0.5000 0.5000 0.5000 P
0.0000 0.0000 0.0000 As
0.0000 0.5000 0.0000 Co
0.0000 0.0000 0.5000 Co
0.5000 0.0000 0.0000 Co

=====

Entry 22:
IrRuSe2 PBE relaxed; uncorrected formation energy = 0.405 eV per atom; energy above the lowest structure with this stoichiometry = 1.42 eV/f.u.
1.0
-5.0832 -5.5487 -2.4587
-3.2597 -7.2143 -0.0106
-5.9256 -5.1730 0.8941
Ru Ir Se
1 1 2
Direct
0.0000 0.0000 0.0000 Ru
0.5000 0.5000 0.5000 Ir
0.8968 0.8968 0.8968 Se
0.1032 0.1032 0.1032 Se

=====

Entry 23:
Zr2SiSn PBE relaxed; uncorrected formation energy = -0.326 eV per atom; energy above the lowest structure with this stoichiometry = 0.84 eV/f.u.
1.0
-5.2454 -4.8102 -2.5597
3.8315 -0.7299 -6.4801
0.8554 -5.1052 -3.3331
Si Sn Zr
2 2 4
Direct
0.5000 0.5000 0.0000 Si
0.2500 0.7500 0.5000 Si
0.0000 0.0000 0.0000 Sn
0.7500 0.2500 0.5000 Sn
0.6019 0.1250 0.2500 Zr
0.1481 0.6250 0.2500 Zr
0.3750 0.3981 0.7500 Zr
0.8750 0.8519 0.7500 Zr

=====

Entry 24:
Rb2CeF6 PBE relaxed; uncorrected formation energy = -3.392 eV per atom
1.0
3.9494 0.0008 -1.2745
-0.9618 5.7087 -2.9770
0.2487 0.2444 7.5057
Rb Ce F
2 1 6
Direct
0.3349 0.3343 0.6686 Rb
0.6651 0.6657 0.3314 Rb
0.0000 0.0000 0.0000 Ce
0.8655 0.0745 0.7300 F
0.1345 0.3445 0.2700 F
0.1345 0.9255 0.2700 F
0.5000 0.1911 0.0000 F
0.8655 0.6555 0.7300 F
0.5000 0.8089 0.0000 F

=====

| no. | total moment (μB/cell) | raw total energy (eV per atom) |
| --- | --- | --- |
| 1 | 0.00 | -4.781 |
| 2 | 0.00 | -7.826 |
| 3 | 0.00 | -3.175 |
| 4 | 0.00 | -5.099 |
| 5 | 1.29 | -6.092 |
| 6 | 0.00 | -2.370 |
| 7 | 0.00 | -3.508 |
| 8 | 4.25 | -10.476 |
| 9 | 0.00 | -3.428 |
| 10 | 0.00 | -6.345 |
| 11 | 0.00 | -1.340 |
| 12 | 4.52 | -2.728 |
| 13 | 2.91 | -3.582 |
| 14 | 0.00 | -6.587 |
| 15 | 3.83 | -4.384 |
| 16 | 2.10 | -6.849 |
| 17 | 0.00 | -4.895 |
| 18 | 0.00 | -5.585 |
| 19 | 9.67 | -7.387 |
| 20 | 1.18 | -6.802 |
| 21 | 2.59 | -5.401 |
| 22 | 0.00 | -5.872 |
| 23 | 0.00 | -6.956 |
| 24 | 0.00 | -5.514 |